Compound: ScTaRe2
Source: Alexandria
Functional: GGA-PBE
Structure: optimized geometry

Cell lengths 4.558, 4.558, 3.201 Å; angles 90.00, 90.00, 90.00 degrees
Positions (direct):
Sc 0.000 0.000 0.000
Ta 0.500 0.500 0.000
Re 0.000 0.500 0.500
Re 0.500 0.000 0.500

Values from the calculation:
The magnetic moment is 0.00 μB/atom. As for the symmetry: P4/mmm (123). For the mass density, the calculation gives 14.94 g/cm³. The value obtained for the formation energy from the elements is -0.1745 eV/atom.